(1)
{
  "formula": "LiTbHgPb",
  "functional": "PBE",
  "state": "optimized geometry",
  "spacegroup": "F-43m",
  "formation_enthalpy_0k_ev_per_atom": -0.445,
  "lattice_angstrom": [[0.0000, 3.6579, 3.6579], [3.6579, 0.0000, 3.6579], [3.6579, 3.6579, 0.0000]],
  "species": ["Li", "Tb", "Hg", "Pb"],
  "fractional_positions": [[0.0000, 0.0000, 0.0000], [0.5000, 0.5000, 0.5000], [0.7500, 0.7500, 0.7500], [0.2500, 0.2500, 0.2500]]
}


(2)
{
  "formula": "PuPtAu",
  "functional": "PBE",
  "state": "optimized geometry",
  "polymorph_energy_mev_per_atom": 72,
  "spacegroup": "P-1",
  "formation_enthalpy_0k_ev_per_atom": -0.476,
  "lattice_angstrom": [[4.9868, 0.0000, 0.0000], [2.4822, 4.3495, 0.0000], [1.3580, 0.8447, 5.7884]],
  "species": ["Pu", "Pu", "Pt", "Pt", "Au", "Au"],
  "fractional_positions": [[0.1473, 0.1519, 0.1540], [0.8527, 0.8481, 0.8460], [0.4781, 0.4850, 0.2342], [0.5219, 0.5150, 0.7658], [0.2209, 0.2184, 0.6328], [0.7791, 0.7816, 0.3672]]
}


(3)
{
  "formula": "PuZn2CuO8",
  "functional": "PBE",
  "state": "optimized geometry",
  "raw_formation_energy_ev_per_atom": -1.040,
  "spacegroup": "I-4m2",
  "lattice_angstrom": [[-3.1673, 3.1673, 3.6344], [3.1673, -3.1673, 3.6344], [3.1673, 3.1673, -3.6344]],
  "species": ["Pu", "Zn", "Zn", "Cu", "O", "O", "O", "O", "O", "O", "O", "O"],
  "fractional_positions": [[0.0000, 0.0000, 0.0000], [0.2500, 0.7500, 0.5000], [0.5000, 0.5000, 0.0000], [0.7500, 0.2500, 0.5000], [0.0540, 0.3506, 0.2966], [0.0540, 0.7573, 0.7034], [0.0858, 0.2864, 0.7994], [0.2427, 0.9460, 0.2966], [0.4870, 0.2864, 0.2006], [0.6494, 0.9460, 0.7034], [0.7136, 0.5130, 0.7994], [0.7136, 0.9142, 0.2006]]
}


(4)
{
  "formula": "LaMg4Ag2",
  "functional": "PBE",
  "state": "optimized geometry",
  "polymorph_energy_mev_per_atom": 31,
  "spacegroup": "Cmmm",
  "formation_enthalpy_0k_ev_per_atom": -0.185,
  "lattice_angstrom": [[2.2246, -8.5613, 0.0000], [2.2246, 8.5613, 0.0000], [0.0000, 0.0000, 4.3909]],
  "species": ["La", "Mg", "Mg", "Mg", "Mg", "Ag", "Ag"],
  "fractional_positions": [[0.0000, 0.0000, 0.0000], [0.1809, 0.8191, 0.5000], [0.3178, 0.6822, 0.0000], [0.6822, 0.3178, 0.0000], [0.8191, 0.1809, 0.5000], [0.4192, 0.5808, 0.5000], [0.5808, 0.4192, 0.5000]]
}


(5)
{
  "formula": "I",
  "functional": "PBE",
  "state": "optimized geometry",
  "raw_formation_energy_ev_per_atom": 0.580,
  "polymorph_energy_mev_per_atom": 580,
  "spacegroup": "Fd-3m",
  "lattice_angstrom": [[0.0000, 3.9135, 3.9135], [3.9135, 0.0000, 3.9135], [3.9135, 3.9135, 0.0000]],
  "species": ["I", "I"],
  "fractional_positions": [[0.1250, 0.1250, 0.1250], [0.8750, 0.8750, 0.8750]]
}


(6)
{
  "formula": "Tb3Nd4Y8",
  "functional": "PBE",
  "state": "optimized geometry",
  "polymorph_energy_mev_per_atom": 240,
  "spacegroup": "C2/m",
  "formation_enthalpy_0k_ev_per_atom": 0.364,
  "lattice_angstrom": [[6.7688, -6.4500, 0.0000], [6.7688, 6.4500, 0.0000], [-3.4024, 0.0000, 5.8855]],
  "species": ["Tb", "Tb", "Tb", "Nd", "Nd", "Nd", "Nd", "Y", "Y", "Y", "Y", "Y", "Y", "Y", "Y"],
  "fractional_positions": [[0.0000, 0.0000, 0.0000], [0.0000, 0.5000, 0.5000], [0.5000, 0.0000, 0.5000], [0.0000, 0.5000, 0.0000], [0.5000, 0.0000, 0.0000], [0.5000, 0.5000, 0.0000], [0.5000, 0.5000, 0.5000], [0.1405, 0.8595, 0.5000], [0.2305, 0.2305, 0.9651], [0.2337, 0.2337, 0.4879], [0.2454, 0.7546, 0.0000], [0.7546, 0.2454, 0.0000], [0.7663, 0.7663, 0.5121], [0.7695, 0.7695, 0.0349], [0.8595, 0.1405, 0.5000]]
}


(7)
{
  "formula": "K4PrPu3O12",
  "functional": "PBE",
  "state": "optimized geometry",
  "raw_formation_energy_ev_per_atom": -2.550,
  "spacegroup": "Im-3m",
  "lattice_angstrom": [[-4.3349, 4.3349, 4.3349], [4.3349, -4.3349, 4.3349], [4.3349, 4.3349, -4.3349]],
  "species": ["K", "K", "K", "K", "Pr", "Pu", "Pu", "Pu", "O", "O", "O", "O", "O", "O", "O", "O", "O", "O", "O", "O"],
  "fractional_positions": [[0.0000, 0.0000, 0.5000], [0.0000, 0.5000, 0.0000], [0.5000, 0.0000, 0.0000], [0.5000, 0.5000, 0.5000], [0.0000, 0.0000, 0.0000], [0.0000, 0.5000, 0.5000], [0.5000, 0.0000, 0.5000], [0.5000, 0.5000, 0.0000], [0.0000, 0.2711, 0.2711], [0.0000, 0.7289, 0.7289], [0.2500, 0.5000, 0.7500], [0.2500, 0.7500, 0.5000], [0.2711, 0.0000, 0.2711], [0.2711, 0.2711, 0.0000], [0.5000, 0.2500, 0.7500], [0.5000, 0.7500, 0.2500], [0.7289, 0.0000, 0.7289], [0.7289, 0.7289, 0.0000], [0.7500, 0.2500, 0.5000], [0.7500, 0.5000, 0.2500]]
}


(8)
{
  "formula": "SrCaAc3",
  "functional": "PBE",
  "state": "optimized geometry",
  "spacegroup": "Amm2",
  "formation_enthalpy_0k_ev_per_atom": 0.397,
  "lattice_angstrom": [[3.8952, 0.0000, 0.0000], [0.0000, 3.6990, 9.4159], [0.0000, -3.6990, 9.4159]],
  "species": ["Sr", "Ca", "Ac", "Ac", "Ac"],
  "fractional_positions": [[0.0000, 0.0000, 0.0000], [0.5000, 0.5054, 0.5054], [0.0000, 0.4284, 0.9158], [0.0000, 0.9158, 0.4284], [0.5000, 0.8188, 0.8188]]
}


(9)
{
  "formula": "Ba2ZnAgHg6",
  "functional": "PBE",
  "state": "optimized geometry",
  "spacegroup": "P-1",
  "formation_enthalpy_0k_ev_per_atom": -0.251,
  "lattice_angstrom": [[6.0901, 0.0000, 0.0000], [2.9181, 6.9482, 0.0000], [3.0071, -0.3463, 7.1120]],
  "species": ["Ba", "Ba", "Zn", "Ag", "Hg", "Hg", "Hg", "Hg", "Hg", "Hg"],
  "fractional_positions": [[0.0227, 0.2359, 0.2193], [0.9773, 0.7641, 0.7807], [0.5000, 0.0000, 0.5000], [0.5000, 0.5000, 0.0000], [0.0054, 0.2319, 0.7583], [0.3562, 0.4010, 0.4007], [0.4899, 0.7817, 0.2349], [0.5101, 0.2183, 0.7651], [0.6438, 0.5990, 0.5993], [0.9946, 0.7681, 0.2417]]
}


(10)
{
  "formula": "RbIn4SnHg2",
  "functional": "PBE",
  "state": "optimized geometry",
  "spacegroup": "P4/mmm",
  "formation_enthalpy_0k_ev_per_atom": -0.089,
  "lattice_angstrom": [[5.1143, 0.0000, 0.0000], [0.0000, 5.1143, 0.0000], [0.0000, 0.0000, 9.7112]],
  "species": ["Rb", "In", "In", "In", "In", "Sn", "Hg", "Hg"],
  "fractional_positions": [[0.0000, 0.0000, 0.0000], [0.0000, 0.5000, 0.3180], [0.0000, 0.5000, 0.6820], [0.5000, 0.0000, 0.3180], [0.5000, 0.0000, 0.6820], [0.0000, 0.0000, 0.5000], [0.5000, 0.5000, 0.1493], [0.5000, 0.5000, 0.8507]]
}


(11)
{
  "formula": "Y3TiGa",
  "functional": "PBE",
  "state": "optimized geometry",
  "polymorph_energy_mev_per_atom": 0,
  "spacegroup": "Pm-3m",
  "formation_enthalpy_0k_ev_per_atom": 0.415,
  "lattice_angstrom": [[5.4511, 0.0000, 0.0000], [0.0000, 5.4511, 0.0000], [0.0000, 0.0000, 5.4511]],
  "species": ["Y", "Y", "Y", "Ti", "Ga"],
  "fractional_positions": [[0.0000, 0.0000, 0.5000], [0.0000, 0.5000, 0.0000], [0.5000, 0.0000, 0.0000], [0.5000, 0.5000, 0.5000], [0.0000, 0.0000, 0.0000]]
}


(12)
{
  "formula": "CdPH2",
  "functional": "PBE",
  "state": "optimized geometry",
  "polymorph_energy_mev_per_atom": 255,
  "spacegroup": "I4_1/amd",
  "lattice_angstrom": [[-2.7298, 2.7298, 3.7763], [2.7298, -2.7298, 3.7763], [2.7298, 2.7298, -3.7763]],
  "species": ["Cd", "Cd", "P", "P", "H", "H", "H", "H"],
  "fractional_positions": [[0.3750, 0.6250, 0.7500], [0.6250, 0.3750, 0.2500], [0.1250, 0.8750, 0.2500], [0.8750, 0.1250, 0.7500], [0.0000, 0.0000, 0.0000], [0.0000, 0.0000, 0.5000], [0.0000, 0.5000, 0.0000], [0.5000, 0.0000, 0.5000]]
}


no.,volume (Å³/cell)
1,98
2,126
3,146
4,167
5,120
6,514
7,326
8,271
9,301
10,254
11,162
12,113